Record 1
MnCrCo2 | PBE-GGA | relaxed

Cell: 4.030 4.030 4.030 Å, 60.00 60.00 60.00°
Atoms (fractional coordinates):
Mn (0.000, 0.000, 0.000)
Cr (0.500, 0.500, 0.500)
Co (0.250, 0.250, 0.250)
Co (0.750, 0.750, 0.750)

Summary:
VASP energy = -32.675 eV for the cell shown
Energy of formation from the pure elements = 8.0 kJ/mol of atoms
Magnetic moment = 6.9 Bohr magnetons per cell

=====

Record 2
LiP2Br | PBE-GGA | relaxed

Cell: 9.098 9.083 3.391 Å, 79.50 79.00 21.50°
Atoms (fractional coordinates):
Li (0.000, 0.000, 0.000)
P (0.000, 0.500, 0.500)
P (0.500, 0.000, 0.000)
Br (0.500, 0.500, 0.500)

Summary:
Polymorph energy (0 for the lowest one) = 158 meV/atom
E_form (uncorrected) = -131 kJ/mol of formula units
VASP energy = -15.767 eV for the cell shown
Magnetic moment = 0.0 Bohr magnetons per cell

=====

Record 3
Pr12Ho2Er | PBE-GGA | relaxed

Cell: 6.892 6.892 25.172 Å, 90.00 90.00 116.54°
Atoms (fractional coordinates):
Pr (0.002, 0.502, 0.130)
Pr (0.002, 0.998, 0.927)
Pr (0.020, 0.520, 0.585)
Pr (0.025, 0.975, 0.440)
Pr (0.250, 0.250, 0.198)
Pr (0.250, 0.250, 0.324)
Pr (0.250, 0.250, 0.676)
Pr (0.250, 0.250, 0.802)
Pr (0.475, 0.525, 0.440)
Pr (0.480, 0.980, 0.585)
Pr (0.498, 0.502, 0.927)
Pr (0.498, 0.998, 0.130)
Pr (0.502, 0.002, 0.870)
Pr (0.502, 0.498, 0.073)
Pr (0.520, 0.020, 0.415)
Pr (0.525, 0.475, 0.560)
Pr (0.750, 0.750, 0.198)
Pr (0.750, 0.750, 0.324)
Pr (0.750, 0.750, 0.676)
Pr (0.750, 0.750, 0.802)
Pr (0.975, 0.025, 0.560)
Pr (0.980, 0.480, 0.415)
Pr (0.998, 0.002, 0.073)
Pr (0.998, 0.498, 0.870)
Ho (0.250, 0.750, 0.271)
Ho (0.250, 0.750, 0.733)
Ho (0.750, 0.250, 0.267)
Ho (0.750, 0.250, 0.729)
Er (0.250, 0.750, 0.001)
Er (0.750, 0.250, 0.999)

Summary:
VASP energy = -137.462 eV for the cell shown
Energy of formation from the pure elements = 15.1 kJ/mol of atoms
Magnetic moment = 0.0 Bohr magnetons per cell

=====

- Look up the VASP energy of the second one.
  -15.767 eV for the cell shown